Record 1
VASP calculation (PBE-GGA) on a geometry-optimized Be2AlRe structure.

CIF file:
```
data_Be2AlRe
_chemical_formula_sum 'Be6 Al3 Re3'
_symmetry_space_group_name_H-M 'R 3 m'
_symmetry_Int_Tables_number 160
_symmetry_space_group_name_Hall 'R 3 -2"'
_cell_length_a 2.7095
_cell_length_b 2.7095
_cell_length_c 23.6933
_cell_angle_alpha 90.00
_cell_angle_beta 90.00
_cell_angle_gamma 120.00
loop_
_atom_site_label
_atom_site_type_symbol
_atom_site_fract_x
_atom_site_fract_y
_atom_site_fract_z
Be1 Be 0.0000 0.0000 0.0000
Be2 Be 0.0000 0.0000 0.2609
Al1 Al 0.0000 0.0000 0.5122
Re1 Re 0.0000 0.0000 0.7503
```

## Properties
* formation enthalpy at 0 K: 245 meV per atom

---

Record 2
VASP calculation (PBE-GGA) on a geometry-optimized Pr8Rh3I4F structure.

CIF file:
```
data_Pr8Rh3I4F
_chemical_formula_sum 'Pr16 Rh6 I8 F2'
_symmetry_space_group_name_H-M 'C 1 2/m 1'
_symmetry_Int_Tables_number 12
_symmetry_space_group_name_Hall '-C 2y'
_cell_length_a 14.524
_cell_length_b 8.377
_cell_length_c 9.529
_cell_angle_alpha 90.00
_cell_angle_beta 120.53
_cell_angle_gamma 90.00
loop_
_atom_site_label
_atom_site_type_symbol
_atom_site_fract_x
_atom_site_fract_y
_atom_site_fract_z
Pr1 Pr 0.023 0.242 0.312
Pr2 Pr 0.228 0.000 0.684
Pr3 Pr 0.235 0.500 0.688
Rh1 Rh 0.000 0.000 0.500
Rh2 Rh 0.250 0.250 0.500
I1 I 0.000 0.000 0.000
I2 I 0.000 0.500 0.000
I3 I 0.250 0.250 0.000
F1 F 0.000 0.500 0.500
```

## Properties
* formation energy (no corrections): -1.069 eV per atom

---

E_tot for every record listed, in sequence, given in eV per atom: -5.67 -5.34.